Record 1
Computed, not measured: a relaxed structure of RbNa2TaO4 at the PBE-GGA level of DFT.

Structure (POSCAR):
```
RbNa2TaO4
1.0
-0.0166 -2.3005 5.3151
5.1055 0.6781 -2.6490
-1.4352 5.5844 -0.5458
O Ta Rb Na
4 1 1 2
Direct
0.6359 0.4537 0.4537 O
0.0000 0.5463 0.1821 O
0.3641 0.8179 0.8179 O
0.0000 0.1821 0.5463 O
0.0000 0.5000 0.5000 Ta
0.0000 0.0000 0.0000 Rb
0.5000 0.2500 0.7500 Na
0.5000 0.7500 0.2500 Na
```

Calculated values
**Energy relative to the elements, uncorrected**: -2.263 eV per atom
**Space-group type**: I-42m (121)

=====

Record 2
Computed, not measured: a relaxed structure of HoErTm2 at the PBE-GGA level of DFT.

Structure (POSCAR):
```
HoErTm2
1.0
-2.3549 -1.4357 4.7935
11.0288 -3.4646 4.3803
1.0791 6.6073 2.5091
Tm Ho Er
8 4 4
Direct
0.4433 0.0833 0.0002 Tm
0.4433 0.5833 0.4998 Tm
0.9433 0.9167 0.9998 Tm
0.4432 0.0833 0.5000 Tm
0.9432 0.4167 0.0000 Tm
0.9433 0.4167 0.5002 Tm
0.4432 0.5833 0.0000 Tm
0.9432 0.9167 0.5000 Tm
0.4433 0.8336 0.2499 Ho
0.9433 0.1664 0.7501 Ho
0.4433 0.3336 0.2501 Ho
0.9433 0.6664 0.7499 Ho
0.4432 0.8338 0.7499 Er
0.9432 0.6662 0.2499 Er
0.4432 0.3338 0.7501 Er
0.9432 0.1662 0.2501 Er
```

Calculated values
**Energy of formation from the pure elements**: 0.00 eV per atom
**Space-group type**: Pmmn (59)

=====

Record 3
Computed, not measured: a relaxed structure of K3Tl at the PBE-GGA level of DFT.

Structure (POSCAR):
```
K3Tl
1.0
-10.0703 8.5886 1.5602
-11.7928 5.9989 -1.5973
-12.1343 4.8246 2.6627
K Tl
3 1
Direct
0.7336 0.7336 0.7336 K
0.5000 0.5000 0.5000 K
0.2664 0.2664 0.2664 K
0.0000 0.0000 0.0000 Tl
```

Calculated values
**Energy of formation from the pure elements**: 0.05 eV per atom
**Space-group type**: R-3m (166)

=====

Record 4
Computed, not measured: a relaxed structure of HfTe2Rh at the PBE-GGA level of DFT.

Structure (POSCAR):
```
HfTe2Rh
1.0
6.1860 0.0000 0.0000
0.0000 6.1860 0.0000
3.0930 3.0930 6.2369
Te Hf Rh
4 2 2
Direct
0.3750 0.4003 0.7500 Te
0.8750 0.8497 0.7500 Te
0.5997 0.1250 0.2500 Te
0.1503 0.6250 0.2500 Te
0.7500 0.2500 0.5000 Hf
0.0000 0.0000 0.0000 Hf
0.5000 0.5000 0.0000 Rh
0.2500 0.7500 0.5000 Rh
```

Calculated values
**Energy relative to the elements, uncorrected**: -0.102 eV per atom
**Space-group type**: I-42d (122)

=====

Record 5
Computed, not measured: a relaxed structure of PmPu8Rh6 at the PBE-GGA level of DFT.

Structure (POSCAR):
```
PmPu8Rh6
1.0
-3.6336 -4.9703 -1.3296
2.0197 -4.3857 -4.0448
3.0703 -7.5131 4.7750
Rh Pu Pm
6 8 1
Direct
0.8620 0.3285 0.2111 Rh
0.5984 0.8620 0.2111 Rh
0.1380 0.6715 0.7889 Rh
0.6715 0.4016 0.7889 Rh
0.4016 0.1380 0.7889 Rh
0.3285 0.5984 0.2111 Rh
0.5239 0.1838 0.4308 Pu
0.3130 0.3130 0.0611 Pu
0.1385 0.4761 0.5692 Pu
0.6870 0.6870 0.9389 Pu
0.1838 0.8615 0.4308 Pu
0.8615 0.5239 0.4308 Pu
0.8162 0.1385 0.5692 Pu
0.4761 0.8162 0.5692 Pu
0.0000 0.0000 0.0000 Pm
```

Calculated values
**Energy of formation from the pure elements**: -0.18 eV per atom
**Space-group type**: R-3 (148)

=====

Record 6
Computed, not measured: a relaxed structure of Ge3As at the PBE-GGA level of DFT.

Structure (POSCAR):
```
Ge3As
1.0
-2.3959 2.5289 -3.2588
-4.4186 1.5295 0.9441
-0.8145 4.6458 0.7127
Ge As
3 1
Direct
0.5000 0.5000 0.5000 Ge
0.2500 0.2500 0.2500 Ge
0.7500 0.7500 0.7500 Ge
0.0000 0.0000 0.0000 As
```

Calculated values
**Energy of formation from the pure elements**: 0.31 eV per atom
**Space-group type**: Fm-3m (225)

=====

Record 7
Computed, not measured: a relaxed structure of Pr12Dy6Y at the PBE-GGA level of DFT.

Structure (POSCAR):
```
Pr12Dy6Y
1.0
8.6826 0.7029 0.8420
-0.6216 8.6888 0.8420
-0.6216 -0.7242 8.6994
Pr Dy Y
12 6 1
Direct
0.4638 0.5672 0.2181 Pr
0.7819 0.5362 0.4328 Pr
0.3635 0.0182 0.1928 Pr
0.5362 0.4328 0.7819 Pr
0.0182 0.1928 0.3635 Pr
0.9818 0.8072 0.6365 Pr
0.6365 0.9818 0.8072 Pr
0.2181 0.4638 0.5672 Pr
0.4328 0.7819 0.5362 Pr
0.1928 0.3635 0.0182 Pr
0.8072 0.6365 0.9818 Pr
0.5672 0.2181 0.4638 Pr
0.7403 0.9008 0.2958 Dy
0.7042 0.2596 0.0992 Dy
0.9008 0.2958 0.7403 Dy
0.2958 0.7403 0.9008 Dy
0.0992 0.7042 0.2596 Dy
0.2596 0.0992 0.7042 Dy
0.0000 0.0000 0.0000 Y
```

Calculated values
**Energy of formation from the pure elements**: 0.13 eV per atom
**Space-group type**: R-3 (148)

=====

Record 8
Computed, not measured: a relaxed structure of Pr6Y3Er2Sc at the PBE-GGA level of DFT.

Structure (POSCAR):
```
Pr6Y3Er2Sc
1.0
6.2743 0.0001 0.0013
-3.1356 5.4346 0.0013
-1.0468 -1.8125 11.6029
Pr Y Sc Er
6 3 1 2
Direct
0.9182 0.5876 0.7543 Pr
0.5876 0.9182 0.7543 Pr
0.0818 0.4124 0.2457 Pr
0.4124 0.0818 0.2457 Pr
0.7509 0.7509 0.2457 Pr
0.2491 0.2491 0.7543 Pr
0.1667 0.8333 0.5000 Y
0.5000 0.5000 0.5000 Y
0.8333 0.1667 0.5000 Y
0.0000 0.0000 0.0000 Sc
0.3333 0.6667 0.0000 Er
0.6667 0.3333 0.0000 Er
```

Calculated values
**Energy of formation from the pure elements**: 0.02 eV per atom
**Space-group type**: C2/m (12)

=====

Record 9
Computed, not measured: a relaxed structure of Ho3Sc2Ir2 at the PBE-GGA level of DFT.

Structure (POSCAR):
```
Ho3Sc2Ir2
1.0
3.7400 0.0000 0.0000
-1.8700 5.8354 -0.3134
0.0000 -3.0997 7.8681
Ir Sc Ho
2 2 3
Direct
0.8136 0.6272 0.7733 Ir
0.1864 0.3728 0.2267 Ir
0.1704 0.3407 0.8198 Sc
0.8296 0.6593 0.1802 Sc
0.6163 0.2326 0.4324 Ho
0.5000 0.0000 0.0000 Ho
0.3837 0.7674 0.5676 Ho
```

Calculated values
**Energy of formation from the pure elements**: -0.63 eV per atom
**Space-group type**: C2/m (12)

=====

Record 10
Computed, not measured: a relaxed structure of NaNdHg2 at the PBE-GGA level of DFT.

Structure (POSCAR):
```
NaNdHg2
1.0
-0.7526 3.1808 -1.6371
-5.3029 -1.1911 0.1235
-0.4259 2.4003 4.8592
Na Hg Nd
1 2 1
Direct
0.5000 0.0000 0.0000 Na
0.0000 0.0000 0.5000 Hg
0.0000 0.5000 0.0000 Hg
0.5000 0.5000 0.5000 Nd
```

Calculated values
**Energy of formation from the pure elements**: -0.36 eV per atom
**Space-group type**: P4/mmm (123)

=====

Record 11
Computed, not measured: a relaxed structure of Re2Ir at the PBE-GGA level of DFT.

Structure (POSCAR):
```
Re2Ir
1.0
0.0000 3.6134 3.6134
3.6134 0.0000 3.6134
3.6134 3.6134 0.0000
Ir Re
2 4
Direct
0.0000 0.0000 0.0000 Ir
0.2500 0.2500 0.2500 Ir
0.6250 0.6250 0.6250 Re
0.1250 0.6250 0.6250 Re
0.6250 0.1250 0.6250 Re
0.6250 0.6250 0.1250 Re
```

Calculated values
**Energy of formation from the pure elements**: 0.49 eV per atom
**Space-group type**: Fd-3m (227)

=====

Record 12
Computed, not measured: a relaxed structure of Pr2MgPbO6 at the PBE-GGA level of DFT.

Structure (POSCAR):
```
Pr2MgPbO6
1.0
-4.2070 -2.9489 -2.4150
1.7836 -4.8872 2.8606
-4.8853 1.9243 6.3335
O Pr Pb Mg
12 4 2 2
Direct
0.1169 0.4540 0.7551 O
0.3831 0.9540 0.7449 O
0.8085 0.7971 0.9383 O
0.2975 0.6947 0.0616 O
0.7025 0.3053 0.9384 O
0.3085 0.7029 0.4383 O
0.6169 0.0460 0.2551 O
0.7975 0.8053 0.5616 O
0.6915 0.2971 0.5617 O
0.2025 0.1947 0.4384 O
0.1915 0.2029 0.0617 O
0.8831 0.5460 0.2449 O
0.9804 0.0599 0.7505 Pr
0.5196 0.5599 0.7495 Pr
0.0196 0.9401 0.2495 Pr
0.4804 0.4401 0.2505 Pr
0.0000 0.5000 0.5000 Pb
0.5000 0.0000 0.0000 Pb
0.0000 0.5000 0.0000 Mg
0.5000 0.0000 0.5000 Mg
```

Calculated values
**Energy relative to the elements, uncorrected**: -2.474 eV per atom
**Space-group type**: P2_1/c (14)

=====

The evaluated mass density for the records listed, in turn: 4423 9105 2401 7467 15103 6335 6828 6260 9574 8736 19872 7298 kg/m³.